# TbTm2Mg4 | the Alexandria database | GGA-PBE | optimized geometry
data_TbTm2Mg4
_chemical_formula_sum 'Tb2 Tm4 Mg8'
_cell_length_a 9.860
_cell_length_b 11.047
_cell_length_c 3.539
_cell_angle_alpha 90.00
_cell_angle_beta 90.00
_cell_angle_gamma 90.00
_space_group_name_H-M_alt 'C m m m'
_space_group_IT_number 65
_space_group_name_Hall '-C 2 2'
loop_
_atom_site_label
_atom_site_type_symbol
_atom_site_fract_x
_atom_site_fract_y
_atom_site_fract_z
_atom_site_occupancy
Tb1 Tb 0.000 0.000 0.000 1
Tm1 Tm 0.195 0.500 0.500 1
Mg1 Mg 0.000 0.254 0.500 1
Mg2 Mg 0.250 0.250 0.000 1
# Formation enthalpy at 0 K (eV/f.u.): 0.69
# DFT total energy (eV per atom): -2.752
# Polymorph energy (0 for the lowest one) (meV per atom): 0
# D(E_F) (states/eV/cell): 13.0

---

# BaAgBi2 | the Alexandria database | GGA-PBE | optimized geometry
data_BaAgBi2
_chemical_formula_sum 'Ba4 Ag4 Bi8'
_cell_length_a 8.019
_cell_length_b 8.019
_cell_length_c 8.019
_cell_angle_alpha 90.00
_cell_angle_beta 90.00
_cell_angle_gamma 90.00
_space_group_name_H-M_alt 'F m -3 m'
_space_group_IT_number 225
_space_group_name_Hall '-F 4 2 3'
loop_
_atom_site_label
_atom_site_type_symbol
_atom_site_fract_x
_atom_site_fract_y
_atom_site_fract_z
_atom_site_occupancy
Ba1 Ba 0.000 0.000 0.000 1
Ag1 Ag 0.000 0.000 0.500 1
Bi1 Bi 0.250 0.250 0.250 1
# Formation enthalpy at 0 K (eV/f.u.): -0.71
# DFT total energy (eV per atom): -3.310
# D(E_F) (states/eV/cell): 10.9

---

# Hf3FeRu4 | the Alexandria database | GGA-PBE | optimized geometry
data_Hf3FeRu4
_chemical_formula_sum 'Hf3 Fe1 Ru4'
_cell_length_a 3.211
_cell_length_b 3.211
_cell_length_c 12.567
_cell_angle_alpha 90.00
_cell_angle_beta 90.00
_cell_angle_gamma 90.00
_space_group_name_H-M_alt 'P 4/m m m'
_space_group_IT_number 123
_space_group_name_Hall '-P 4 2'
loop_
_atom_site_label
_atom_site_type_symbol
_atom_site_fract_x
_atom_site_fract_y
_atom_site_fract_z
_atom_site_occupancy
Hf1 Hf 0.000 0.000 0.000 1
Hf2 Hf 0.000 0.000 0.262 1
Fe1 Fe 0.000 0.000 0.500 1
Ru1 Ru 0.500 0.500 0.129 1
Ru2 Ru 0.500 0.500 0.386 1
# Formation enthalpy at 0 K (eV/f.u.): -4.41
# DFT total energy (eV per atom): -9.980
# D(E_F) (states/eV/cell): 2.4

---

# MoAsSe2S | the Alexandria database | GGA-PBE | optimized geometry
data_MoAsSe2S
_chemical_formula_sum 'Mo1 As1 Se2 S1'
_cell_length_a 4.740
_cell_length_b 4.740
_cell_length_c 4.819
_cell_angle_alpha 90.00
_cell_angle_beta 90.00
_cell_angle_gamma 90.00
_space_group_name_H-M_alt 'P 4/m m m'
_space_group_IT_number 123
_space_group_name_Hall '-P 4 2'
loop_
_atom_site_label
_atom_site_type_symbol
_atom_site_fract_x
_atom_site_fract_y
_atom_site_fract_z
_atom_site_occupancy
Mo1 Mo 0.000 0.000 0.000 1
As1 As 0.500 0.500 0.000 1
Se1 Se 0.000 0.500 0.500 1
S1 S 0.500 0.500 0.500 1
# Formation energy (no corrections) (eV per formula unit): 4.97
# DFT total energy (eV per atom): -4.321
# Polymorph energy (0 for the lowest one) (meV per atom): 474
# D(E_F) (states/eV/cell): 2.9

---

# LiAgRu2 | the Alexandria database | GGA-PBE | optimized geometry
data_LiAgRu2
_chemical_formula_sum 'Li2 Ag2 Ru4'
_cell_length_a 9.616
_cell_length_b 2.716
_cell_length_c 4.561
_cell_angle_alpha 90.00
_cell_angle_beta 98.20
_cell_angle_gamma 90.00
_space_group_name_H-M_alt 'C 1 2/m 1'
_space_group_IT_number 12
loop_
_space_group_symop_operation_xyz
'x,y,z'
'-x,-y,-z'
'-x,y,-z'
'x,-y,z'
'x+1/2,y+1/2,z'
'-x+1/2,-y+1/2,-z'
'-x+1/2,y+1/2,-z'
'x+1/2,-y+1/2,z'
loop_
_atom_site_label
_atom_site_type_symbol
_atom_site_fract_x
_atom_site_fract_y
_atom_site_fract_z
_atom_site_occupancy
Li1 Li 0.000 0.000 0.000 1
Ag1 Ag 0.000 0.500 0.500 1
Ru1 Ru 0.245 0.000 0.760 1
# Formation enthalpy at 0 K (eV/f.u.): 1.32
# DFT total energy (eV per atom): -5.500
# Polymorph energy (0 for the lowest one) (meV per atom): 155
# D(E_F) (states/eV/cell): 8.9

---

# Sr5TlTe6 | the Alexandria database | GGA-PBE | optimized geometry
data_Sr5TlTe6
_chemical_formula_sum 'Sr10 Tl2 Te12'
_cell_length_a 8.223
_cell_length_b 14.253
_cell_length_c 8.212
_cell_angle_alpha 90.00
_cell_angle_beta 109.49
_cell_angle_gamma 90.00
_space_group_name_H-M_alt 'C 1 2/m 1'
_space_group_IT_number 12
loop_
_space_group_symop_operation_xyz
'x,y,z'
'-x,-y,-z'
'-x,y,-z'
'x,-y,z'
'x+1/2,y+1/2,z'
'-x+1/2,-y+1/2,-z'
'-x+1/2,y+1/2,-z'
'x+1/2,-y+1/2,z'
loop_
_atom_site_label
_atom_site_type_symbol
_atom_site_fract_x
_atom_site_fract_y
_atom_site_fract_z
_atom_site_occupancy
Sr1 Sr 0.000 0.000 0.000 1
Sr2 Sr 0.000 0.167 0.500 1
Sr3 Sr 0.000 0.335 0.000 1
Tl1 Tl 0.000 0.500 0.500 1
Te1 Te 0.250 0.000 0.749 1
Te2 Te 0.250 0.166 0.250 1
# Formation energy (no corrections) (eV per formula unit): -17.23
# DFT total energy (eV per atom): -3.905
# D(E_F) (states/eV/cell): 13.1

---

# VCo2Ge | the Alexandria database | GGA-PBE | optimized geometry
data_VCo2Ge
_chemical_formula_sum 'V4 Co8 Ge4'
_cell_length_a 3.630
_cell_length_b 3.630
_cell_length_c 16.025
_cell_angle_alpha 90.00
_cell_angle_beta 90.00
_cell_angle_gamma 90.00
_space_group_name_H-M_alt 'I -4 2 d'
_space_group_IT_number 122
_space_group_name_Hall 'I -4 2bw'
loop_
_atom_site_label
_atom_site_type_symbol
_atom_site_fract_x
_atom_site_fract_y
_atom_site_fract_z
_atom_site_occupancy
V1 V 0.000 0.000 0.000 1
Co1 Co 0.245 0.250 0.625 1
Ge1 Ge 0.000 0.000 0.500 1
# Formation enthalpy at 0 K (eV/f.u.): 0.83
# DFT total energy (eV per atom): -6.780
# D(E_F) (states/eV/cell): 17.3

---

# LiNd4Tl7 | the Alexandria database | GGA-PBE | optimized geometry
data_LiNd4Tl7
_chemical_formula_sum 'Li2 Nd8 Tl14'
_cell_length_a 14.435
_cell_length_b 5.427
_cell_length_c 11.506
_cell_angle_alpha 90.00
_cell_angle_beta 123.23
_cell_angle_gamma 90.00
_space_group_name_H-M_alt 'C 1 2/m 1'
_space_group_IT_number 12
loop_
_space_group_symop_operation_xyz
'x,y,z'
'-x,-y,-z'
'-x,y,-z'
'x,-y,z'
'x+1/2,y+1/2,z'
'-x+1/2,-y+1/2,-z'
'-x+1/2,y+1/2,-z'
'x+1/2,-y+1/2,z'
loop_
_atom_site_label
_atom_site_type_symbol
_atom_site_fract_x
_atom_site_fract_y
_atom_site_fract_z
_atom_site_occupancy
Li1 Li 0.000 0.000 0.000 1
Nd1 Nd 0.080 0.500 0.780 1
Nd2 Nd 0.223 0.500 0.330 1
Tl1 Tl 0.000 0.500 0.000 1
Tl2 Tl 0.084 0.000 0.314 1
Tl3 Tl 0.130 0.500 0.541 1
Tl4 Tl 0.222 0.000 0.902 1
# Formation enthalpy at 0 K (eV/f.u.): -2.09
# DFT total energy (eV per atom): -3.303
# D(E_F) (states/eV/cell): 11.1

---

Among the records above, which one has the lowest D(E_F)? Hf3FeRu4